[1]
Computed, not measured: a geometry-optimized HgTeMo2 structure at the PBE level of DFT.

The structure in CIF format:
```
data_HgTeMo2
_chemical_formula_sum 'Hg3 Te3 Mo6'
_symmetry_space_group_name_H-M 'R -3 m'
_symmetry_Int_Tables_number 166
_symmetry_space_group_name_Hall '-R 3 2"'
_cell_length_a 3.1439
_cell_length_b 3.1439
_cell_length_c 26.4560
_cell_angle_alpha 90.00
_cell_angle_beta 90.00
_cell_angle_gamma 120.00
loop_
_atom_site_label
_atom_site_type_symbol
_atom_site_fract_x
_atom_site_fract_y
_atom_site_fract_z
_atom_site_occupancy
Hg1 Hg 0.0000 0.0000 0.0000 1
Te1 Te 0.0000 0.0000 0.5000 1
Mo1 Mo 0.0000 0.0000 0.2454 1
```

Output
For the energy relative to the elements, uncorrected, the calculation gives 592 meV/atom. As for the density of states at the Fermi level: 3.2 states/eV/f.u. The energy above the most stable polymorph in this dataset comes out at 309 meV per atom. As for the total magnetization: 0.0 μB per cell.

***

[2]
Computed, not measured: a geometry-optimized NdZrTe structure at the PBE level of DFT.

The structure in CIF format:
```
data_NdZrTe
_chemical_formula_sum 'Nd6 Zr6 Te6'
_symmetry_space_group_name_H-M 'R -3 m'
_symmetry_Int_Tables_number 166
_symmetry_space_group_name_Hall '-R 3 2"'
_cell_length_a 4.5403
_cell_length_b 4.5403
_cell_length_c 31.6965
_cell_angle_alpha 90.00
_cell_angle_beta 90.00
_cell_angle_gamma 120.00
loop_
_atom_site_label
_atom_site_type_symbol
_atom_site_fract_x
_atom_site_fract_y
_atom_site_fract_z
_atom_site_occupancy
Nd1 Nd 0.0000 0.0000 0.1205 1
Zr1 Zr 0.0000 0.0000 0.3042 1
Te1 Te 0.0000 0.0000 0.3980 1
```

Output
For the energy relative to the elements, uncorrected, the calculation gives -458 meV/atom. As for the density of states at the Fermi level: 2.9 states/eV/f.u. As for the total magnetization: 0.0 μB per cell.

***

[3]
Computed, not measured: a geometry-optimized NdNpS3 structure at the PBE level of DFT.

The structure in CIF format:
```
data_NdNpS3
_chemical_formula_sum 'Nd4 Np4 S12'
_symmetry_space_group_name_H-M 'I m m a'
_symmetry_Int_Tables_number 74
_symmetry_space_group_name_Hall '-I 2b 2'
_cell_length_a 5.452
_cell_length_b 10.440
_cell_length_c 8.453
_cell_angle_alpha 90.00
_cell_angle_beta 90.00
_cell_angle_gamma 90.00
loop_
_atom_site_label
_atom_site_type_symbol
_atom_site_fract_x
_atom_site_fract_y
_atom_site_fract_z
_atom_site_occupancy
Nd1 Nd 0.000 0.000 0.000 1
Np1 Np 0.000 0.250 0.445 1
S1 S 0.000 0.058 0.658 1
S2 S 0.000 0.250 0.110 1
```

Output
For the energy relative to the elements, uncorrected, the calculation gives -1457 meV/atom. As for the density of states at the Fermi level: 7.2 states/eV/f.u. The energy above the most stable polymorph in this dataset comes out at 274 meV per atom. As for the total magnetization: 15.5 μB per cell.

***

[4]
Computed, not measured: a geometry-optimized LaTlFe2 structure at the PBE level of DFT.

The structure in CIF format:
```
data_LaTlFe2
_chemical_formula_sum 'La4 Tl4 Fe8'
_symmetry_space_group_name_H-M 'F m -3 m'
_symmetry_Int_Tables_number 225
_symmetry_space_group_name_Hall '-F 4 2 3'
_cell_length_a 6.830
_cell_length_b 6.830
_cell_length_c 6.830
_cell_angle_alpha 90.00
_cell_angle_beta 90.00
_cell_angle_gamma 90.00
loop_
_atom_site_label
_atom_site_type_symbol
_atom_site_fract_x
_atom_site_fract_y
_atom_site_fract_z
_atom_site_occupancy
La1 La 0.000 0.000 0.000 1
Tl1 Tl 0.000 0.000 0.500 1
Fe1 Fe 0.250 0.250 0.250 1
```

Output
Its formation energy is 0.37 eV per atom. As for the density of states at the Fermi level: 5.6 states/eV/f.u. The energy above the most stable polymorph in this dataset comes out at 196 meV per atom. As for the total magnetization: 18.1 μB per cell.

***

[5]
Computed, not measured: a geometry-optimized ScTaCu structure at the PBE level of DFT.

The structure in CIF format:
```
data_ScTaCu
_chemical_formula_sum 'Sc1 Ta1 Cu1'
_symmetry_space_group_name_H-M 'P 3 m 1'
_symmetry_Int_Tables_number 156
_cell_length_a 3.0401
_cell_length_b 3.0401
_cell_length_c 6.7892
_cell_angle_alpha 90.00
_cell_angle_beta 90.00
_cell_angle_gamma 120.00
loop_
_symmetry_equiv_pos_as_xyz
'x,y,z'
'-y,x-y,z'
'-x+y,-x,z'
'-y,-x,z'
'-x+y,y,z'
'x,x-y,z'
loop_
_atom_site_label
_atom_site_type_symbol
_atom_site_fract_x
_atom_site_fract_y
_atom_site_fract_z
_atom_site_occupancy
Sc1 Sc 0.0000 0.0000 0.0000 1
Ta1 Ta 0.6667 0.3333 0.3554 1
Cu1 Cu 0.3333 0.6667 0.6646 1
```

Output
Its formation energy is 0.22 eV per atom. As for the density of states at the Fermi level: 4.3 states/eV/f.u. The energy above the most stable polymorph in this dataset comes out at 279 meV per atom. As for the total magnetization: 0.0 μB per cell.

***

[6]
Computed, not measured: a geometry-optimized CaHgH2 structure at the PBE level of DFT.

The structure in CIF format:
```
data_CaHgH2
_chemical_formula_sum 'Ca4 Hg4 H8'
_symmetry_space_group_name_H-M 'F m -3 m'
_symmetry_Int_Tables_number 225
_symmetry_space_group_name_Hall '-F 4 2 3'
_cell_length_a 6.201
_cell_length_b 6.201
_cell_length_c 6.201
_cell_angle_alpha 90.00
_cell_angle_beta 90.00
_cell_angle_gamma 90.00
loop_
_atom_site_label
_atom_site_type_symbol
_atom_site_fract_x
_atom_site_fract_y
_atom_site_fract_z
_atom_site_occupancy
Ca1 Ca 0.000 0.000 0.000 1
Hg1 Hg 0.000 0.000 0.500 1
H1 H 0.250 0.250 0.250 1
```

Output
As for the density of states at the Fermi level: 0.6 states/eV/f.u. The energy above the most stable polymorph in this dataset comes out at 178 meV per atom. As for the total magnetization: 0.0 μB per cell.

***

[7]
Computed, not measured: a geometry-optimized Pm5SmTe8 structure at the PBE level of DFT.

The structure in CIF format:
```
data_Pm5SmTe8
_chemical_formula_sum 'Pm10 Sm2 Te16'
_symmetry_space_group_name_H-M 'I -4'
_symmetry_Int_Tables_number 82
_cell_length_a 9.611
_cell_length_b 9.611
_cell_length_c 9.325
_cell_angle_alpha 90.00
_cell_angle_beta 90.00
_cell_angle_gamma 90.00
loop_
_symmetry_equiv_pos_as_xyz
'x,y,z'
'y,-x,-z'
'-x,-y,z'
'-y,x,-z'
'x+1/2,y+1/2,z+1/2'
'y+1/2,-x+1/2,-z+1/2'
'-x+1/2,-y+1/2,z+1/2'
'-y+1/2,x+1/2,-z+1/2'
loop_
_atom_site_label
_atom_site_type_symbol
_atom_site_fract_x
_atom_site_fract_y
_atom_site_fract_z
_atom_site_occupancy
Pm1 Pm 0.000 0.000 0.000 1
Pm2 Pm 0.148 0.750 0.375 1
Sm1 Sm 0.000 0.500 0.750 1
Te1 Te 0.070 0.675 0.053 1
Te2 Te 0.070 0.824 0.696 1
```

Output
For the energy relative to the elements, uncorrected, the calculation gives -1408 meV/atom. As for the density of states at the Fermi level: 7.6 states/eV/f.u. As for the total magnetization: 0.0 μB per cell.

***

[8]
Computed, not measured: a geometry-optimized SrRe2Sb structure at the PBE level of DFT.

The structure in CIF format:
```
data_SrRe2Sb
_chemical_formula_sum 'Sr1 Re2 Sb1'
_symmetry_space_group_name_H-M 'P 4/m m m'
_symmetry_Int_Tables_number 123
_symmetry_space_group_name_Hall '-P 4 2'
_cell_length_a 4.190
_cell_length_b 4.190
_cell_length_c 4.587
_cell_angle_alpha 90.00
_cell_angle_beta 90.00
_cell_angle_gamma 90.00
loop_
_atom_site_label
_atom_site_type_symbol
_atom_site_fract_x
_atom_site_fract_y
_atom_site_fract_z
_atom_site_occupancy
Sr1 Sr 0.000 0.000 0.000 1
Re1 Re 0.000 0.500 0.500 1
Sb1 Sb 0.500 0.500 0.000 1
```

Output
For the energy relative to the elements, uncorrected, the calculation gives 1080 meV/atom. As for the density of states at the Fermi level: 5.2 states/eV/f.u. As for the total magnetization: 0.0 μB per cell.

***

[9]
Computed, not measured: a geometry-optimized TiFe2Cl structure at the PBE level of DFT.

The structure in CIF format:
```
data_TiFe2Cl
_chemical_formula_sum 'Ti4 Fe8 Cl4'
_symmetry_space_group_name_H-M 'I -4 2 d'
_symmetry_Int_Tables_number 122
_symmetry_space_group_name_Hall 'I -4 2bw'
_cell_length_a 6.675
_cell_length_b 6.675
_cell_length_c 4.794
_cell_angle_alpha 90.00
_cell_angle_beta 90.00
_cell_angle_gamma 90.00
loop_
_atom_site_label
_atom_site_type_symbol
_atom_site_fract_x
_atom_site_fract_y
_atom_site_fract_z
_atom_site_occupancy
Ti1 Ti 0.000 0.000 0.000 1
Fe1 Fe 0.176 0.250 0.625 1
Cl1 Cl 0.000 0.000 0.500 1
```

Output
For the energy relative to the elements, uncorrected, the calculation gives 526 meV/atom. As for the density of states at the Fermi level: 10.5 states/eV/f.u. The energy above the most stable polymorph in this dataset comes out at 0 meV per atom. As for the total magnetization: 0.0 μB per cell.

***

[10]
Computed, not measured: a geometry-optimized SrMn2Co structure at the PBE level of DFT.

The structure in CIF format:
```
data_SrMn2Co
_chemical_formula_sum 'Sr1 Mn2 Co1'
_symmetry_space_group_name_H-M 'P 4 m m'
_symmetry_Int_Tables_number 99
_cell_length_a 3.335
_cell_length_b 3.335
_cell_length_c 7.078
_cell_angle_alpha 90.00
_cell_angle_beta 90.00
_cell_angle_gamma 90.00
loop_
_symmetry_equiv_pos_as_xyz
'x,y,z'
'-y,x,z'
'-x,-y,z'
'y,-x,z'
'-x,y,z'
'y,x,z'
'x,-y,z'
'-y,-x,z'
loop_
_atom_site_label
_atom_site_type_symbol
_atom_site_fract_x
_atom_site_fract_y
_atom_site_fract_z
_atom_site_occupancy
Sr1 Sr 0.000 0.000 0.000 1
Mn1 Mn 0.000 0.000 0.442 1
Mn2 Mn 0.500 0.500 0.651 1
Co1 Co 0.500 0.500 0.316 1
```

Output
Its formation energy is 0.51 eV per atom. As for the density of states at the Fermi level: 2.5 states/eV/f.u. The energy above the most stable polymorph in this dataset comes out at 208 meV per atom. As for the total magnetization: 8.9 μB per cell.